[1]
# PrGe2Br8

A relaxed PrGe2Br8 crystal (PBE, the Alexandria database).

a b c (Å): 12.6153 10.6629 7.5341
angles (deg): 90.00 106.22 90.00
Space group C2/m (No. 12)
Symmetry-distinct sites (fractional):
Pr (0.0000, 0.0000, 0.0000)
Ge (0.1905, 0.0000, 0.6551)
Br (0.0946, 0.1810, 0.7907)
Br (0.1215, 0.5000, 0.1582)
Br (0.2086, 0.0000, 0.2936)

[2]
# Pr4GeBr4

A relaxed Pr4GeBr4 crystal (PBE, the Alexandria database).

a b c (Å): 7.2152 7.2152 11.9900
angles (deg): 90.00 90.00 90.00
Space group I-42m (No. 121)
Symmetry-distinct sites (fractional):
Pr (0.2044, 0.2044, 0.1526)
Ge (0.0000, 0.0000, 0.0000)
Br (0.0000, 0.0000, 0.3425)
Br (0.0000, 0.5000, 0.0000)

[3]
# Pr8Ge3PtBr4

A relaxed Pr8Ge3PtBr4 crystal (PBE, the Alexandria database).

a b c (Å): 8.7028 8.7028 21.8164
angles (deg): 90.00 90.00 120.00
Space group R-3m (No. 166, hexagonal axes)
Symmetry-distinct sites (fractional):
Pr (0.0000, 0.0000, 0.2397)
Pr (0.0053, 0.5027, 0.2380)
Ge (0.0000, 0.5000, 0.5000)
Pt (0.0000, 0.0000, 0.5000)
Br (0.0000, 0.0000, 0.0000)
Br (0.0000, 0.5000, 0.0000)

[4]
# Pr4GePtBr2

A relaxed Pr4GePtBr2 crystal (PBE, the Alexandria database).

a b c (Å): 7.7267 4.2206 7.7552
angles (deg): 90.00 107.78 90.00
Space group P2/m (No. 10)
Symmetry-distinct sites (fractional):
Pr (0.2237, 0.0000, 0.2032)
Pr (0.2612, 0.5000, 0.7829)
Ge (0.5000, 0.0000, 0.0000)
Pt (0.0000, 0.5000, 0.0000)
Br (0.0000, 0.0000, 0.5000)
Br (0.5000, 0.5000, 0.5000)

[5]
# RbPrGe2Br8

A relaxed RbPrGe2Br8 crystal (PBE, the Alexandria database).

a b c (Å): 6.7544 7.3625 9.8994
angles (deg): 86.61 89.59 85.02
Space group P-1 (No. 2)
Symmetry-distinct sites (fractional):
Rb (0.0000, 0.0000, 0.0000)
Pr (0.0000, 0.0000, 0.5000)
Ge (0.4502, 0.4533, 0.2752)
Br (0.2322, 0.8169, 0.2926)
Br (0.2399, 0.3236, 0.4737)
Br (0.2618, 0.3727, 0.0803)
Br (0.2715, 0.8571, 0.7192)

[6]
# Pr8Ge3RhBr4

A relaxed Pr8Ge3RhBr4 crystal (PBE, the Alexandria database).

a b c (Å): 8.6588 8.6588 22.0422
angles (deg): 90.00 90.00 120.00
Space group R-3m (No. 166, hexagonal axes)
Symmetry-distinct sites (fractional):
Pr (0.0000, 0.0000, 0.2394)
Pr (0.0097, 0.5048, 0.2364)
Ge (0.0000, 0.5000, 0.5000)
Rh (0.0000, 0.0000, 0.5000)
Br (0.0000, 0.0000, 0.0000)
Br (0.0000, 0.5000, 0.0000)

[7]
# Pr8GeRh3Br4

A relaxed Pr8GeRh3Br4 crystal (PBE, the Alexandria database).

a b c (Å): 8.4663 8.4663 23.2397
angles (deg): 90.00 90.00 120.00
Space group R-3m (No. 166, hexagonal axes)
Symmetry-distinct sites (fractional):
Pr (0.0000, 0.0000, 0.2336)
Pr (0.0116, 0.5058, 0.7672)
Ge (0.0000, 0.0000, 0.5000)
Rh (0.0000, 0.5000, 0.5000)
Br (0.0000, 0.0000, 0.0000)
Br (0.0000, 0.5000, 0.0000)

[8]
# Pr6GeRh2Br3

A relaxed Pr6GeRh2Br3 crystal (PBE, the Alexandria database).

a b c (Å): 7.3503 12.7321 8.0871
angles (deg): 90.00 107.67 90.00
Space group C2/m (No. 12)
Symmetry-distinct sites (fractional):
Pr (0.2205, 0.0000, 0.2018)
Pr (0.2398, 0.3268, 0.2022)
Ge (0.0000, 0.5000, 0.0000)
Rh (0.0000, 0.1671, 0.0000)
Br (0.0000, 0.0000, 0.5000)
Br (0.0000, 0.3380, 0.5000)

no.,formation energy from raw total energies (eV/atom),total magnetic moment (μB per cell)
1,-0.93,0.00
2,-0.95,0.00
3,-1.15,0.00
4,-1.16,0.00
5,-1.17,0.00
6,-1.10,0.00
7,-1.03,0.00
8,-1.04,0.00